(1)
DFT (SCAN) results for a crystal of RbPt2 relaxed with PBEsol.

Results
**Energy**: -320.28 eV for the cell shown
**Formation energy from the elements**: 32 kJ per mole of atoms
**Space group**: Cmcm, No. 63

Geometry as extended XYZ:
```
6
Lattice="1.4346 -10.7052 0.0000 1.4346 10.7052 0.0000 0.0000 0.0000 4.5526" Properties=species:S:1:pos:R:3 pbc="T T T"
Rb 1.4346 9.0062 3.4145
Rb 1.4346 -9.0062 1.1382
Pt 1.4346 4.8650 1.1382
Pt 1.4346 3.5035 3.4145
Pt 1.4346 -3.5035 1.1382
Pt 1.4346 -4.8650 3.4145
```

---

(2)
DFT (SCAN) results for a crystal of Rb4Pt relaxed with PBEsol.

Results
**Energy**: -150.48 eV for the cell shown
**Formation energy from the elements**: 51 kJ per mole of atoms
**Space group**: I4/mmm, No. 139

Geometry as extended XYZ:
```
5
Lattice="-2.5148 2.5148 11.3156 2.5148 -2.5148 11.3156 2.5148 2.5148 -11.3156" Properties=species:S:1:pos:R:3 pbc="T T T"
Rb 0.0000 0.0000 1.6079
Rb 2.5148 0.0000 5.6578
Rb 0.0000 2.5148 5.6578
Rb 0.0000 0.0000 21.0232
Pt 0.0000 0.0000 11.3156
```

---

(3)
DFT (SCAN) results for a crystal of RbPt3 relaxed with PBEsol.

Results
**Relative energy among the computed polymorphs**: 0.648 eV per atom
**Energy**: -229.51 eV for the cell shown
**Formation energy from the elements**: 44 kJ per mole of atoms
**Space group**: P-6m2, No. 187

Geometry as extended XYZ:
```
4
Lattice="2.8440 0.0000 0.0000 -1.4220 2.4630 0.0000 0.0000 0.0000 10.1987" Properties=species:S:1:pos:R:3 pbc="T T T"
Rb 0.0000 0.0000 0.0000
Pt 0.0000 0.0000 5.0993
Pt 1.4220 0.8210 2.8476
Pt 1.4220 0.8210 7.3510
```

---

(4)
DFT (SCAN) results for a crystal of Rb2YPtS relaxed with PBEsol.

Results
**Energy**: -150.30 eV for the cell shown
**Space group**: P4/mmm, No. 123
**Formation energy without anion corrections**: -232 meV/atom

Geometry as extended XYZ:
```
5
Lattice="5.8513 0.0000 0.0000 0.0000 5.8513 0.0000 0.0000 0.0000 5.1670" Properties=species:S:1:pos:R:3 pbc="T T T"
Rb 0.0000 2.9256 0.0000
Rb 2.9256 0.0000 0.0000
Y 0.0000 0.0000 2.5835
Pt 2.9256 2.9256 2.5835
S 0.0000 0.0000 0.0000
```

---

(5)
DFT (SCAN) results for a crystal of Rb2SbPt relaxed with PBEsol.

Results
**Energy**: -300.84 eV for the cell shown
**Space group**: I-42d, No. 122
**Formation energy without anion corrections**: -372 meV/atom

Geometry as extended XYZ:
```
8
Lattice="-6.4576 6.4576 2.4724 6.4576 -6.4576 2.4724 6.4576 6.4576 -2.4724" Properties=species:S:1:pos:R:3 pbc="T T T"
Rb 0.5290 3.2288 0.6181
Rb -3.2288 5.9286 1.8543
Rb -0.5290 9.6864 0.6181
Rb 3.2288 6.9866 1.8543
Sb 6.4576 0.0000 1.2362
Sb 0.0000 0.0000 2.4724
Pt 0.0000 0.0000 0.0000
Pt 0.0000 6.4576 1.2362
```

---

(6)
DFT (SCAN) results for a crystal of RbSbPt3 relaxed with PBEsol.

Results
**Energy**: -257.35 eV for the cell shown
**Space group**: Pm-3m, No. 221
**Formation energy without anion corrections**: 2247 meV/atom

Geometry as extended XYZ:
```
5
Lattice="4.9540 0.0000 0.0000 0.0000 4.9540 0.0000 0.0000 0.0000 4.9540" Properties=species:S:1:pos:R:3 pbc="T T T"
Rb 0.0000 0.0000 0.0000
Sb 2.4770 2.4770 2.4770
Pt 0.0000 0.0000 2.4770
Pt 0.0000 2.4770 0.0000
Pt 2.4770 0.0000 0.0000
```

---

Question: What is the formula in the fourth record?
Answer: Rb2YPtS